Below is a geometry-optimized Ba5Eu8Zn4O21 structure, with properties calculated at the GGA-PBE level.

The volume is 15.41 Å³ per atom. For the uncorrected formation energy, the calculation gives -2.41 eV per atom. As for the space group: I4/m. The crystal system is tetragonal. The total magnetic moment is 48.00 Bohr magnetons per cell.

abc: 10.4321 10.4321 10.4321
angles: 94.49 94.49 147.52
Site moments in Bohr magnetons follow the coordinates.
Atoms (fractional coordinates):
O  0.2010  0.4250  0.1354  -0.15
O  0.7104  0.9344  0.1354  -0.15
O  0.4250  0.2896  0.2240  -0.15
O  0.0174  0.6099  0.1150  -0.14
Eu  0.8344  0.2500  0.0844  6.30
O  0.9344  0.7990  0.2240  -0.15
Ba  0.1384  0.4691  0.6075  0.01
O  0.4949  0.9024  0.8850  -0.14
Zn  0.7467  0.0425  0.7892  -0.02
Ba  0.4691  0.8616  0.3307  0.01
O  0.6249  0.9693  0.5942  -0.04
O  0.3901  0.5051  0.4075  -0.14
Zn  0.2533  0.9575  0.2108  -0.02
Eu  0.7500  0.8344  0.5843  6.30
Eu  0.4100  0.3583  0.7683  6.30
Eu  0.6417  0.4100  0.0517  6.30
O  0.0656  0.2010  0.7760  -0.15
O  0.6099  0.4949  0.5925  -0.14
O  0.5051  0.0976  0.1150  -0.14
O  0.0976  0.9826  0.5925  -0.14
Eu  0.3583  0.5900  0.9483  6.30
Ba  0.8616  0.5309  0.3925  0.01
Zn  0.9575  0.7467  0.7042  -0.02
O  0.9024  0.0174  0.4075  -0.14
Ba  0.0000  0.0000  0.0000  0.01
Ba  0.5309  0.1384  0.6693  0.01
Eu  0.2500  0.1656  0.4157  6.30
Zn  0.0425  0.2533  0.2958  -0.02
O  0.9693  0.3751  0.3445  -0.04
O  0.5750  0.7104  0.7760  -0.15
Eu  0.5900  0.6417  0.2317  6.30
O  0.9826  0.3901  0.8850  -0.14
O  0.3751  0.0307  0.4058  -0.04
O  0.0307  0.6249  0.6555  -0.04
O  0.2896  0.0656  0.8646  -0.15
Eu  0.1656  0.7500  0.9156  6.30
O  0.5000  0.5000  0.0000  -0.17
O  0.7990  0.5750  0.8646  -0.15